1.
First-principles (GGA-PBE) data for a geometry-optimized AlIr2Os structure, as listed in Alexandria via LeMat-Bulk.

Values from the calculation:
* energy relative to the elements: 0.07 eV/atom
* V: 58.3 Å³/f.u.

Cell lengths 6.1538, 6.1538, 6.1538 Å; angles 90.00, 90.00, 90.00 degrees
Last column: nearest neighbours and their distance in Å.
Space group F-43m (No. 216)
Inequivalent atoms, fractional coordinates:
Al1 0.0000 0.0000 0.0000 x4  4 Os 2.66, 4 Ir 2.66
Ir1 0.0000 0.0000 0.5000 x4  4 Ir 2.66, 4 Os 2.66
Ir2 0.2500 0.2500 0.7500 x4  4 Al 2.66, 4 Ir 2.66
Os1 0.2500 0.2500 0.2500 x4  4 Ir 2.66, 4 Al 2.66

=====

2.
First-principles (GGA-PBE) data for a geometry-optimized Al4Ir3Os structure, as listed in Alexandria via LeMat-Bulk.

Values from the calculation:
* energy relative to the elements: -0.85 eV/atom
* V: 109.6 Å³/f.u.

Cell lengths 3.0159, 3.0159, 12.0528 Å; angles 90.00, 90.00, 90.00 degrees
Last column: nearest neighbours and their distance in Å.
Space group P4/mmm (No. 123)
Inequivalent atoms, fractional coordinates:
Al1 0.0000 0.0000 0.1189 x2  4 Os 2.57, 4 Ir 2.66, 1 Al 2.87
Al2 0.0000 0.0000 0.3731 x2  8 Ir 2.59-2.62
Ir1 0.5000 0.5000 0.2510 x2  8 Al 2.59-2.66
Ir2 0.5000 0.5000 0.5000 x1  8 Al 2.62
Os1 0.5000 0.5000 0.0000 x1  8 Al 2.57

=====

3.
First-principles (GGA-PBE) data for a geometry-optimized AlIr2Os structure, as listed in Alexandria via LeMat-Bulk.

Values from the calculation:
* energy relative to the elements: -0.13 eV/atom
* V: 57.4 Å³/f.u.

Cell lengths 2.8440, 4.4153, 9.1383 Å; angles 90.00, 90.00, 90.00 degrees
Last column: nearest neighbours and their distance in Å.
Space group Imm2 (No. 44)
Inequivalent atoms, fractional coordinates:
Al1 0.0000 0.0000 0.0000 x2  6 Ir 2.47-2.63, 2 Os 2.51
Ir1 0.0000 0.0000 0.5074 x2  4 Al 2.63, 2 Os 2.82, 2 Ir 2.84
Ir2 0.0000 0.5000 0.7208 x2  2 Al 2.47, 4 Os 2.67
Os1 0.0000 0.5000 0.2738 x2  2 Al 2.51, 4 Ir 2.67

=====

4.
First-principles (GGA-PBE) data for a geometry-optimized Al4IrOs3 structure, as listed in Alexandria via LeMat-Bulk.

Values from the calculation:
* energy relative to the elements: -0.55 eV/atom
* V: 109.7 Å³/f.u.

Cell lengths 3.0267, 4.2578, 8.5130 Å; angles 90.00, 90.00, 90.00 degrees
Last column: nearest neighbours and their distance in Å.
Space group Pmmm (No. 47)
Inequivalent atoms, fractional coordinates:
Al1 0.0000 0.0000 0.0000 x1  8 Os 2.61
Al2 0.0000 0.0000 0.5000 x1  4 Os 2.61, 4 Ir 2.61
Al3 0.0000 0.5000 0.2480 x2  6 Os 2.60-2.61, 2 Ir 2.63
Ir1 0.5000 0.5000 0.5000 x1  8 Al 2.61-2.63
Os1 0.5000 0.0000 0.2504 x2  8 Al 2.61
Os2 0.5000 0.5000 0.0000 x1  8 Al 2.60-2.61

=====

5.
First-principles (GGA-PBE) data for a geometry-optimized Al8Ir2Os structure, as listed in Alexandria via LeMat-Bulk.

Values from the calculation:
* energy relative to the elements: -0.56 eV/atom
* V: 166.2 Å³/f.u.

Cell lengths 4.0953, 7.3327, 11.0673 Å; angles 90.00, 90.00, 90.00 degrees
Last column: nearest neighbours and their distance in Å.
Space group Immm (No. 71)
Inequivalent atoms, fractional coordinates:
Al1 0.0000 0.0000 0.1418 x4  2 Os 2.58, 4 Al 2.72-2.78, 2 Ir 2.73
Al2 0.0000 0.2191 0.3406 x8  3 Ir 2.61-2.63, 1 Os 2.71, 7 Al 2.71-2.91
Al3 0.0000 0.3122 0.0000 x4  2 Ir 2.56, 7 Al 2.71-2.78
Ir1 0.0000 0.5000 0.1954 x4  10 Al 2.56-2.73
Os1 0.0000 0.5000 0.5000 x2  8 Al 2.58-2.71

=====

6.
First-principles (GGA-PBE) data for a geometry-optimized AlIrOs2 structure, as listed in Alexandria via LeMat-Bulk.

Values from the calculation:
* energy relative to the elements: 0.19 eV/atom
* V: 58.3 Å³/f.u.

Cell lengths 6.1557, 6.1557, 6.1557 Å; angles 90.00, 90.00, 90.00 degrees
Last column: nearest neighbours and their distance in Å.
Space group F-43m (No. 216)
Inequivalent atoms, fractional coordinates:
Al1 0.0000 0.0000 0.0000 x4  4 Os 2.67, 4 Ir 2.67
Ir1 0.2500 0.2500 0.2500 x4  4 Os 2.67, 4 Al 2.67
Os1 0.0000 0.0000 0.5000 x4  4 Ir 2.67, 4 Os 2.67
Os2 0.2500 0.2500 0.7500 x4  4 Os 2.67, 4 Al 2.67

=====

7.
First-principles (GGA-PBE) data for a geometry-optimized AlIrOs2 structure, as listed in Alexandria via LeMat-Bulk.

Values from the calculation:
* energy relative to the elements: -0.16 eV/atom
* V: 57.6 Å³/f.u.

Cell lengths 2.7895, 3.7806, 5.4649 Å; angles 90.00, 90.00, 90.00 degrees
Last column: nearest neighbours and their distance in Å.
Space group Pmm2 (No. 25)
Inequivalent atoms, fractional coordinates:
Al1 0.0000 0.0000 0.0000 x1  4 Ir 2.62, 6 Os 2.68-2.80, 2 Al 2.79
Ir1 0.5000 0.5000 0.2141 x1  4 Al 2.62, 6 Os 2.70-2.85, 2 Ir 2.79
Os1 0.0000 0.0000 0.5094 x1  6 Os 2.62-2.79, 2 Al 2.68-2.78, 4 Ir 2.85
Os2 0.5000 0.5000 0.7206 x1  6 Os 2.62-2.79, 2 Ir 2.70-2.77, 4 Al 2.80

=====

8.
First-principles (GGA-PBE) data for a geometry-optimized AlIrOs2 structure, as listed in Alexandria via LeMat-Bulk.

Values from the calculation:
* energy relative to the elements: -0.08 eV/atom
* V: 57.2 Å³/f.u.

Cell lengths 3.8171, 3.8171, 7.8453 Å; angles 90.00, 90.00, 90.00 degrees
Last column: nearest neighbours and their distance in Å.
Space group I4/mmm (No. 139)
Inequivalent atoms, fractional coordinates:
Al1 0.0000 0.0000 0.0000 x2  4 Ir 2.70, 8 Os 2.74
Ir1 0.0000 0.0000 0.5000 x2  4 Al 2.70, 8 Os 2.74
Os1 0.0000 0.5000 0.2500 x4  4 Os 2.70, 4 Al 2.74, 4 Ir 2.74

=====

Short version: total energy = -8.108, -7.448, -8.308, -7.735, -5.917, -8.571, -8.923, -8.847 eV/atom, in the order given.